This record from the Alexandria database describes a geometry-optimized MnCo2Ge structure. The functional is PBE.

Cell and atoms, written as POSCAR:
```
MnCo2Ge
1.0
-0.322 -2.333 -2.622
2.970 1.222 -1.452
5.852 -6.224 2.451
Ge Mn Co
2 2 4
direct
0.000 0.000 0.000
0.750 0.250 0.500
0.500 0.500 0.000
0.250 0.750 0.500
0.645 0.125 0.250
0.105 0.625 0.250
0.375 0.355 0.750
0.875 0.895 0.750
```

## Properties
SG: I-42d
DFT total energy, eV per atom: -6.694
Crystal system: tetragonal